Record 1
# KTa2Tc (GGA-PBE, relaxed)
data_KTa2Tc
_chemical_formula_sum 'K1 Ta2 Tc1'
_cell_length_a 2.933
_cell_length_b 4.172
_cell_length_c 8.290
_cell_angle_alpha 90.00
_cell_angle_beta 99.43
_cell_angle_gamma 90.00
_space_group_name_H-M_alt 'P 1 2/m 1'
_space_group_IT_number 10
loop_
_space_group_symop_operation_xyz
'x,y,z'
'-x,-y,-z'
'-x,y,-z'
'x,-y,z'
loop_
_atom_site_label
_atom_site_fract_x
_atom_site_fract_y
_atom_site_fract_z
K1 0.000 0.000 0.000
Ta1 0.223 0.500 0.645
Tc1 0.500 0.000 0.500
# calculated volume = 25.01 Å³ per atom
# E = -8.107 eV per atom
# energy of formation = 2.74 eV per formula unit
# offset from the most stable computed form = 0.51 eV/f.u.
# total magnetization = 0.000 μB per atom
# density of states at the Fermi level = 3.6 states/eV/f.u.

---

Record 2
# KTa2Tc (GGA-PBE, relaxed)
data_KTa2Tc
_chemical_formula_sum 'K4 Ta8 Tc4'
_cell_length_a 5.457
_cell_length_b 5.457
_cell_length_c 16.724
_cell_angle_alpha 90.00
_cell_angle_beta 90.00
_cell_angle_gamma 90.00
_space_group_name_H-M_alt 'I -4 2 d'
_space_group_IT_number 122
_space_group_name_Hall 'I -4 2bw'
loop_
_atom_site_label
_atom_site_fract_x
_atom_site_fract_y
_atom_site_fract_z
K1 0.000 0.000 0.000
Ta1 0.002 0.250 0.625
Tc1 0.000 0.000 0.500
# calculated volume = 31.13 Å³ per atom
# E = -7.082 eV per atom
# energy of formation = 6.84 eV per formula unit
# offset from the most stable computed form = 4.61 eV/f.u.
# total magnetization = 0.000 μB per atom
# density of states at the Fermi level = 5.9 states/eV/f.u.

---

- What is the offset from the most stable computed form in the second record?
  4.61 eV/f.u.